Record 1
LiMg2MnTe (GGA-PBE, optimized geometry); DOS at the Fermi energy = 2.995 states/eV/f.u.; final energy = -0.1114 hartree per atom; formation energy without anion corrections = 451 meV/atom; space group = P4/mmm; magnetization = 4.7 μB per formula unit
1.0
-3.098 3.634 1.488
-1.983 -3.017 3.240
3.352 1.461 3.412
Mg Te Mn Li
2 1 1 1
Direct
0.000 0.000 0.500 Mg
0.500 0.000 0.000 Mg
0.000 0.500 0.000 Te
0.500 0.500 0.500 Mn
0.000 0.000 0.000 Li

Record 2
Li2MgTiMn (GGA-PBE, optimized geometry); DOS at the Fermi energy = 6.411 states/eV/f.u.; final energy = -0.1223 hartree per atom; formation energy = 1169 meV per atom; space group = P4/mmm; magnetization = 1.4 μB per formula unit
1.0
4.439 0.000 0.000
0.000 4.781 0.000
0.000 0.000 4.439
Mg Mn Li Ti
1 1 2 1
Direct
0.000 0.500 0.000 Mg
0.000 0.000 0.000 Mn
0.000 0.000 0.500 Li
0.500 0.000 0.000 Li
0.500 0.500 0.500 Ti

Record 3
LiMgMnTl (GGA-PBE, optimized geometry); DOS at the Fermi energy = 2.393 states/eV/f.u.; final energy = -0.1359 hartree per atom; formation energy = 64 meV per atom; space group = F-43m; magnetization = 3.7 μB per formula unit
1.0
4.711 0.000 0.000
2.356 4.080 0.000
2.356 1.360 3.847
Tl Mn Mg Li
1 1 1 1
Direct
0.250 0.250 0.250 Tl
0.500 0.500 0.500 Mn
0.750 0.750 0.750 Mg
0.000 0.000 0.000 Li

Record 4
LiTmMgMn (GGA-PBE, optimized geometry); DOS at the Fermi energy = 5.708 states/eV/f.u.; final energy = -0.1515 hartree per atom; formation energy = 165 meV per atom; space group = F-43m; magnetization = 3.6 μB per formula unit
1.0
-2.354 -3.655 2.202
-1.877 -3.635 -2.648
2.010 -4.435 0.180
Mg Tm Mn Li
1 1 1 1
Direct
0.250 0.250 0.250 Mg
0.750 0.750 0.750 Tm
0.500 0.500 0.500 Mn
0.000 0.000 0.000 Li

Record 5
LiYMgMn (GGA-PBE, optimized geometry); DOS at the Fermi energy = 5.005 states/eV/f.u.; final energy = -0.1700 hartree per atom; formation energy = 159 meV per atom; space group = F-43m; magnetization = 4.3 μB per formula unit
1.0
4.930 0.000 0.000
2.465 4.270 0.000
2.465 1.423 4.026
Y Mg Mn Li
1 1 1 1
Direct
0.000 0.000 0.000 Y
0.500 0.500 0.500 Mg
0.250 0.250 0.250 Mn
0.750 0.750 0.750 Li

Record 6
Li2MgMo (GGA-PBE, optimized geometry); DOS at the Fermi energy = 3.142 states/eV/f.u.; final energy = -0.1394 hartree per atom; formation energy = 270 meV per atom; space group = Cmmm; magnetization = 0.0 μB per formula unit
1.0
-0.460 0.113 2.665
-2.316 -0.266 -1.374
0.810 -9.943 0.561
Li Mg Mo
2 1 1
Direct
0.000 0.000 0.989 Li
0.000 0.000 0.511 Li
0.500 0.500 0.250 Mg
0.500 0.500 0.750 Mo

Record 7
LiMg6Mo (GGA-PBE, optimized geometry); DOS at the Fermi energy = 3.992 states/eV/f.u.; final energy = -0.0973 hartree per atom; formation energy = 142 meV per atom; space group = Cmmm; magnetization = 0.0 μB per formula unit
1.0
-5.890 0.284 -1.431
-1.453 -1.974 5.551
-0.148 4.113 1.424
Li Mg Mo
1 6 1
Direct
0.375 0.625 0.000 Li
0.875 0.625 0.000 Mg
0.375 0.125 0.000 Mg
0.637 0.887 0.500 Mg
0.113 0.363 0.500 Mg
0.114 0.886 0.500 Mg
0.636 0.364 0.500 Mg
0.875 0.125 0.000 Mo

Record 8
Li2MgMo (GGA-PBE, optimized geometry); DOS at the Fermi energy = 2.742 states/eV/f.u.; final energy = -0.1333 hartree per atom; formation energy = 436 meV per atom; space group = Imm2; magnetization = 0.0 μB per formula unit
1.0
5.672 -0.001 -0.001
2.899 4.876 0.001
-3.510 -3.801 2.325
Li Mg Mo
2 1 1
Direct
0.016 0.016 0.000 Li
0.242 0.742 0.500 Li
0.488 0.488 0.000 Mg
0.754 0.254 0.500 Mo

Record 9
LiMg2Mo (GGA-PBE, optimized geometry); DOS at the Fermi energy = 2.521 states/eV/f.u.; final energy = -0.1343 hartree per atom; formation energy = 330 meV per atom; space group = P2/m; magnetization = 0.0 μB per formula unit
1.0
-0.677 3.868 -2.341
-0.106 -1.404 -2.289
-5.802 -1.314 -0.495
Li Mg Mo
1 2 1
Direct
0.500 0.750 0.750 Li
0.000 0.920 0.008 Mg
0.000 0.580 0.492 Mg
0.500 0.250 0.250 Mo

Record 10
LiMg2Mo (GGA-PBE, optimized geometry); DOS at the Fermi energy = 2.221 states/eV/f.u.; final energy = -0.1356 hartree per atom; formation energy = 295 meV per atom; space group = Pm; magnetization = 0.0 μB per formula unit
1.0
-1.649 1.300 4.539
-1.821 -2.065 -0.070
3.523 -3.178 2.190
Li Mg Mo
1 2 1
Direct
0.500 0.626 0.784 Li
0.000 0.125 0.947 Mg
0.500 0.124 0.323 Mg
0.000 0.624 0.446 Mo

Record 11
LiMgMo2 (GGA-PBE, optimized geometry); DOS at the Fermi energy = 2.124 states/eV/f.u.; final energy = -0.2197 hartree per atom; formation energy = 315 meV per atom; space group = Pmmm; magnetization = 0.0 μB per formula unit
1.0
-1.516 2.743 0.898
-3.594 -1.961 -0.079
0.555 -1.202 4.607
Li Mg Mo
1 1 2
Direct
0.500 0.000 0.500 Li
0.000 0.500 0.500 Mg
0.000 0.000 0.000 Mo
0.500 0.500 0.000 Mo

Record 12
LiMgMo3 (GGA-PBE, optimized geometry); DOS at the Fermi energy = 4.786 states/eV/f.u.; final energy = -0.2178 hartree per atom; formation energy = 1274 meV per atom; space group = Pm-3m; magnetization = 0.0 μB per formula unit
1.0
-4.263 -0.477 0.397
-0.232 -1.331 -4.091
0.576 -4.069 1.292
Mo Mg Li
3 1 1
Direct
0.000 0.500 0.000 Mo
0.000 0.000 0.500 Mo
0.500 0.000 0.000 Mo
0.500 0.500 0.500 Mg
0.000 0.000 0.000 Li